Entry from Alexandria via LeMat-Bulk: a relaxed Sc3AgI crystal (GGA-PBE).

Computed properties:
The density of states at the Fermi level is 0.99 states/eV per atom. Its raw formation energy is 0.452 eV/atom. Its total magnetization is 0.0 Bohr magnetons per cell. Its space group is No. 221.

a = 5.2359 Å, b = 5.2359 Å, c = 5.2359 Å
α = 90.00°, β = 90.00°, γ = 90.00°
Atoms (fractional coordinates):
Sc 0.0000 0.0000 0.5000
I 0.0000 0.0000 0.0000
Sc 0.0000 0.5000 0.0000
Ag 0.5000 0.5000 0.5000
Sc 0.5000 0.0000 0.0000

---

Entry from Alexandria via LeMat-Bulk: a relaxed VAsPb3 crystal (GGA-PBE).

Computed properties:
The density of states at the Fermi level is 1.72 states/eV per atom. The calculation puts the energy of formation at 4.7 eV/f.u. Its total magnetization is 3.9 Bohr magnetons per cell. Its space group is No. 221.

a = 5.5311 Å, b = 5.5311 Å, c = 5.5311 Å
α = 90.00°, β = 90.00°, γ = 90.00°
Site moments in Bohr magnetons follow the coordinates.
Atoms (fractional coordinates):
Pb 0.5000 0.0000 0.0000  -0.01
Pb 0.0000 0.0000 0.5000  -0.01
Pb 0.0000 0.5000 0.0000  -0.01
As 0.0000 0.0000 0.0000  0.03
V 0.5000 0.5000 0.5000  3.10

---

Entry from Alexandria via LeMat-Bulk: a relaxed BeAl2Re2 crystal (GGA-PBE).

Computed properties:
The density of states at the Fermi level is 0.51 states/eV per atom. The calculation puts the energy of formation at -0.1 eV/f.u. Its total magnetization is 0.0 Bohr magnetons per cell. Its space group is No. 127.

a = 5.9465 Å, b = 5.9465 Å, c = 4.1180 Å
α = 90.00°, β = 90.00°, γ = 90.00°
Atoms (fractional coordinates):
Be 0.5000 0.5000 0.0000
Al 0.1625 0.6625 0.5000
Be 0.0000 0.0000 0.0000
Al 0.6625 0.8375 0.5000
Re 0.3505 0.8505 0.0000
Re 0.8505 0.6495 0.0000
Al 0.8375 0.3375 0.5000
Al 0.3375 0.1625 0.5000
Re 0.1495 0.3505 0.0000
Re 0.6495 0.1495 0.0000